! MnCrBi2O6 PBE with a Hubbard U optimized geometry; values from VASP
&SYSTEM
  ibrav = 0, nat = 10, ntyp = 4
/
ATOMIC_SPECIES
O 16.00 O.upf
Cr 52.00 Cr.upf
Bi 208.98 Bi.upf
Mn 54.94 Mn.upf
CELL_PARAMETERS angstrom
-2.890 4.967 0.092
-5.367 0.403 1.832
-0.983 2.414 4.910
ATOMIC_POSITIONS angstrom
O -6.387 5.789 2.495
O -3.085 5.142 4.016
O -0.732 1.394 1.284
Cr -2.640 1.823 0.862
O -3.714 2.547 4.606
Bi -4.813 3.789 2.969
O -2.749 3.661 1.699
Bi -1.143 2.351 4.464
O -5.546 4.539 5.055
Mn -7.246 5.695 4.314
! Size of the total moment (Bohr magnetons per cell): 7.0
! Uncorrected energy (eV/atom): -6.726